Computed, not measured: a geometry-optimized KAc2ScO5 structure at the PBE level of DFT.

Cell lengths 7.157, 7.157, 6.255 Å; angles 90.00, 90.00, 90.00 degrees
Element x y z (fractional)
K1 0.000 0.000 0.000
K2 0.500 0.500 0.000
Ac1 0.181 0.319 0.500
Ac2 0.319 0.819 0.500
Ac3 0.681 0.181 0.500
Ac4 0.819 0.681 0.500
Sc1 0.000 0.500 0.000
Sc2 0.500 0.000 0.000
O1 0.000 0.000 0.500
O2 0.136 0.636 0.240
O3 0.136 0.636 0.760
O4 0.364 0.136 0.240
O5 0.364 0.136 0.760
O6 0.500 0.500 0.500
O7 0.636 0.864 0.240
O8 0.636 0.864 0.760
O9 0.864 0.364 0.240
O10 0.864 0.364 0.760

energy relative to the elements, uncorrected = -2.8487 eV per atom

***

Computed, not measured: a geometry-optimized LiTb2Er3S6 structure at the PBE level of DFT.

Cell lengths 6.710, 6.710, 6.711 Å; angles 99.63, 99.63, 120.12 degrees
Element x y z (fractional)
Li1 0.000 0.000 0.000
Tb1 0.334 0.666 0.000
Tb2 0.666 0.334 0.000
Er1 0.166 0.834 0.500
Er2 0.500 0.500 0.500
Er3 0.834 0.166 0.500
S1 0.083 0.408 0.251
S2 0.240 0.240 0.752
S3 0.408 0.083 0.251
S4 0.592 0.917 0.749
S5 0.760 0.760 0.248
S6 0.917 0.592 0.749

energy relative to the elements, uncorrected = -1.9520 eV per atom

***

Computed, not measured: a geometry-optimized ZrTlAuC2 structure at the PBE level of DFT.

Cell lengths 4.274, 4.274, 5.795 Å; angles 90.00, 90.00, 90.00 degrees
Element x y z (fractional)
Zr1 0.000 0.000 0.000
Tl1 0.000 0.000 0.500
Au1 0.500 0.500 0.000
C1 0.000 0.500 0.500
C2 0.500 0.000 0.500

energy of formation from the pure elements = 2.535 eV per atom

***

Computed, not measured: a geometry-optimized CdIn2HAu structure at the PBE level of DFT.

Cell lengths 5.597, 5.597, 3.522 Å; angles 90.00, 90.00, 90.00 degrees
Element x y z (fractional)
Cd1 0.000 0.000 0.000
In1 0.000 0.500 0.500
In2 0.500 0.000 0.500
H1 0.500 0.500 0.000
Au1 0.500 0.500 0.500

***

Computed raw total energy, in the same sequence as the records: -0.270; -0.224; -0.147; -0.093 hartree per atom.
Computed M_tot, in the same sequence as the records: 0.0; 0.0; 0.0; 0.0 Bohr magnetons per cell.